A relaxed TmMg11Cu crystal, computed with PBE.

a b c (Å): 5.703 7.597 7.680
angles (deg): 82.53 68.21 69.49
Fractional positions:
Tm: 0.000 0.000 0.000
Mg: 0.302 0.217 0.204
Mg: 0.698 0.783 0.796
Mg: 0.494 0.783 0.204
Mg: 0.506 0.217 0.796
Mg: 0.354 0.643 0.659
Mg: 0.646 0.357 0.341
Mg: 0.987 0.357 0.659
Mg: 0.013 0.643 0.341
Mg: 0.000 0.500 0.000
Mg: 0.500 0.000 0.500
Mg: 0.000 0.000 0.500
Cu: 0.500 0.500 0.000

## Properties
formation enthalpy at 0 K = -0.0100 eV per atom
total magnetic moment = 0.00 μB/f.u.
electronic total energy = -2.018 eV/atom

---

A relaxed BeSeBr4 crystal, computed with PBE.

a b c (Å): 6.258 6.258 6.258
angles (deg): 60.00 60.00 60.00
Last column: magnetic moment on the atom in μB.
Fractional positions:
Be: 0.000 0.000 0.000  0.26
Se: 0.750 0.750 0.750  1.09
Br: 0.876 0.375 0.375  -0.02
Br: 0.375 0.375 0.876  -0.02
Br: 0.375 0.876 0.375  -0.02
Br: 0.375 0.375 0.375  -0.02

## Properties
total magnetic moment = 2.30 μB/f.u.
electronic total energy = -1.147 eV/atom
formation energy from raw total energies = 1.1697 eV/atom